# Li2CdCoCl6

A relaxed Li2CdCoCl6 crystal (PBE-GGA, Alexandria).

Lattice parameters (Å, degrees): 6.4209 6.4209 17.4444 90.00 90.00 120.00
Last column: nearest neighbours and their distance in Å.
Space group R3 (No. 146, hexagonal axes)
One atom of each set of equivalent atoms:
1 Li 0.0000 0.0000 0.0000 x3  6 Cl 2.50-2.64
2 Li 0.0000 0.0000 0.4938 x3  6 Cl 2.53-2.67
3 Cd 0.0000 0.0000 0.1947 x3  6 Cl 2.60-2.75
4 Co 0.0000 0.0000 0.6898 x3  6 Cl 2.42-2.50
5 Cl 0.0092 0.7030 0.5988 x9  1 Co 2.50, 2 Li 2.50-2.67, 1 Cd 2.60
6 Cl 0.0157 0.3342 0.7591 x9  1 Co 2.42, 2 Li 2.53-2.64

## Properties
Magnetic moment = 0.30 μB per atom
Raw formation energy = -1.168 eV/atom